A relaxed structure of AgAs2Br, computed with PBE-GGA.

Computed properties:
Crystal system: orthorhombic
Formation energy (no corrections): 0.21 eV per atom
Space group: Cmm2, No. 35
Excess energy over the best structure of this formula in the dataset: 343 meV/atom

a b c (Å): 3.742 3.742 8.095
angles (deg): 90.00 90.00 118.79
Atoms (fractional coordinates):
As: 0.000 0.000 0.012
As: 0.500 0.500 0.210
Br: 0.000 0.000 0.522
Ag: 0.500 0.500 0.756